# Zn2OsW

A crystal of Zn2OsW relaxed with PBEsol (SCAN, Alexandria).

The structure in POSCAR format:
```
Zn2OsW
1.0
-0.1218 0.2662 -2.7412
-3.9254 -0.9340 0.0837
-1.1689 4.9603 0.5336
Os W Zn
1 1 2
Cartesian
-2.0236 -0.3339 -1.3287 Os
-2.6080 2.1462 -1.0619 W
-0.8827 3.7459 0.4029 Zn
-0.2862 1.2144 0.1306 Zn
```

Values from the calculation:
Relative energy among the computed polymorphs   41.5 meV per atom
Mass density   14.7 g/cm³
Formation energy from the elements   38.6 kJ/mol of atoms
DOS(E_F)   3.0 states/eV/cell
Space-group type   No. 47
Spin magnetization   0.00 μB/cell

***

# Zn2OsW

A crystal of Zn2OsW relaxed with PBEsol (SCAN, Alexandria).

The structure in POSCAR format:
```
Zn2OsW
1.0
-2.0940 -2.9234 -0.9063
1.2745 0.1655 -3.4786
3.5307 -1.1733 3.2144
Os W Zn
1 1 2
Cartesian
-0.4098 -1.3789 -2.1925 Os
0.0000 0.0000 0.0000 W
0.5135 -2.7379 0.0578 Zn
2.1977 -1.1934 -1.2283 Zn
```

Values from the calculation:
Relative energy among the computed polymorphs   0.0 meV per atom
Mass density   14.7 g/cm³
Formation energy from the elements   34.6 kJ/mol of atoms
DOS(E_F)   3.6 states/eV/cell
Space-group type   No. 139
Spin magnetization   0.00 μB/cell